MgCu2W PBEsol optimized geometry; energy of formation from the pure elements = 0.712 eV/atom; DOS(E_F) = 1.19 states/eV/atom
1.0
0.000 3.022 3.022
3.022 0.000 3.022
3.022 3.022 0.000
Mg Cu W
1 2 1
Cartesian
0.000 0.000 0.000 Mg
1.511 1.511 1.511 Cu
3.022 3.022 3.022 Cu
4.533 4.533 4.533 W